#i
The following is a DFT calculation (PBE) of crystalline MnAs2Au at its relaxed geometry.

D(E_F) ... 1.593 states/eV/f.u.

Geometry as CIF:
```
data_MnAs2Au
_symmetry_space_group_name_H-M 'R -3 m'
_symmetry_Int_Tables_number 166
_symmetry_space_group_name_Hall '-R 3 2"'
_cell_length_a 3.0800
_cell_length_b 3.0800
_cell_length_c 24.7082
_cell_angle_alpha 90.00
_cell_angle_beta 90.00
_cell_angle_gamma 120.00
loop_
_atom_site_label
_atom_site_type_symbol
_atom_site_fract_x
_atom_site_fract_y
_atom_site_fract_z
Mn1 Mn 0.0000 0.0000 0.0000
As1 As 0.0000 0.0000 0.2644
Au1 Au 0.0000 0.0000 0.5000
```



#ii
The following is a DFT calculation (PBE) of crystalline MnAs2Au at its relaxed geometry.

D(E_F) ... 2.402 states/eV/f.u.

Geometry as CIF:
```
data_MnAs2Au
_symmetry_space_group_name_H-M 'F m -3 m'
_symmetry_Int_Tables_number 225
_symmetry_space_group_name_Hall '-F 4 2 3'
_cell_length_a 6.538
_cell_length_b 6.538
_cell_length_c 6.538
_cell_angle_alpha 90.00
_cell_angle_beta 90.00
_cell_angle_gamma 90.00
loop_
_atom_site_label
_atom_site_type_symbol
_atom_site_fract_x
_atom_site_fract_y
_atom_site_fract_z
Mn1 Mn 0.000 0.000 0.000
As1 As 0.250 0.250 0.250
Au1 Au 0.000 0.000 0.500
```



#iii
The following is a DFT calculation (PBE) of crystalline MnAs2Au at its relaxed geometry.

D(E_F) ... 1.861 states/eV/f.u.

Geometry as CIF:
```
data_MnAs2Au
_symmetry_space_group_name_H-M 'P 1 2/m 1'
_symmetry_Int_Tables_number 10
_cell_length_a 3.751
_cell_length_b 3.812
_cell_length_c 5.326
_cell_angle_alpha 90.00
_cell_angle_beta 91.43
_cell_angle_gamma 90.00
loop_
_symmetry_equiv_pos_as_xyz
'x,y,z'
'-x,-y,-z'
'-x,y,-z'
'x,-y,z'
loop_
_atom_site_label
_atom_site_type_symbol
_atom_site_fract_x
_atom_site_fract_y
_atom_site_fract_z
Mn1 Mn 0.000 0.000 0.000
As1 As 0.000 0.000 0.500
As2 As 0.500 0.500 0.000
Au1 Au 0.500 0.500 0.500
```



Top of the stability list: #iii, leading by 9 meV per atom.



#i
The following is a DFT calculation (PBE) of crystalline MnAsAu at its relaxed geometry.

D(E_F) ... 0.841 states/eV/f.u.

Geometry as CIF:
```
data_MnAsAu
_symmetry_space_group_name_H-M 'F -4 3 m'
_symmetry_Int_Tables_number 216
_symmetry_space_group_name_Hall 'F -4 2 3'
_cell_length_a 6.103
_cell_length_b 6.103
_cell_length_c 6.103
_cell_angle_alpha 90.00
_cell_angle_beta 90.00
_cell_angle_gamma 90.00
loop_
_atom_site_label
_atom_site_type_symbol
_atom_site_fract_x
_atom_site_fract_y
_atom_site_fract_z
Mn1 Mn 0.000 0.000 0.000
As1 As 0.250 0.250 0.750
Au1 Au 0.250 0.250 0.250
```



#ii
The following is a DFT calculation (PBE) of crystalline MnAsAu at its relaxed geometry.

D(E_F) ... 1.438 states/eV/f.u.

Geometry as CIF:
```
data_MnAsAu
_symmetry_space_group_name_H-M 'F m m 2'
_symmetry_Int_Tables_number 42
_symmetry_space_group_name_Hall 'F 2 -2'
_cell_length_a 3.797
_cell_length_b 4.391
_cell_length_c 12.523
_cell_angle_alpha 90.00
_cell_angle_beta 90.00
_cell_angle_gamma 90.00
loop_
_atom_site_label
_atom_site_type_symbol
_atom_site_fract_x
_atom_site_fract_y
_atom_site_fract_z
Mn1 Mn 0.000 0.000 0.000
As1 As 0.000 0.000 0.363
Au1 Au 0.000 0.000 0.653
```



#iii
The following is a DFT calculation (PBE) of crystalline MnAsAu at its relaxed geometry.

D(E_F) ... 1.162 states/eV/f.u.

Geometry as CIF:
```
data_MnAsAu
_symmetry_space_group_name_H-M 'P 3 m 1'
_symmetry_Int_Tables_number 156
_cell_length_a 3.8611
_cell_length_b 3.8611
_cell_length_c 4.2885
_cell_angle_alpha 90.00
_cell_angle_beta 90.00
_cell_angle_gamma 120.00
loop_
_symmetry_equiv_pos_as_xyz
'x,y,z'
'-y,x-y,z'
'-x+y,-x,z'
'-y,-x,z'
'-x+y,y,z'
'x,x-y,z'
loop_
_atom_site_label
_atom_site_type_symbol
_atom_site_fract_x
_atom_site_fract_y
_atom_site_fract_z
Mn1 Mn 0.0000 0.0000 0.0000
As1 As 0.6667 0.3333 0.2821
Au1 Au 0.3333 0.6667 0.6484
```



#iv
The following is a DFT calculation (PBE) of crystalline MnAsAu at its relaxed geometry.

D(E_F) ... 1.536 states/eV/f.u.

Geometry as CIF:
```
data_MnAsAu
_symmetry_space_group_name_H-M 'I 4 m m'
_symmetry_Int_Tables_number 107
_symmetry_space_group_name_Hall 'I 4 -2'
_cell_length_a 3.329
_cell_length_b 3.329
_cell_length_c 9.247
_cell_angle_alpha 90.00
_cell_angle_beta 90.00
_cell_angle_gamma 90.00
loop_
_atom_site_label
_atom_site_type_symbol
_atom_site_fract_x
_atom_site_fract_y
_atom_site_fract_z
Mn1 Mn 0.000 0.000 0.000
As1 As 0.000 0.000 0.389
Au1 Au 0.000 0.000 0.685
```



Top of the stability list: #i, leading by 38 meV per atom.



#i
The following is a DFT calculation (PBE) of crystalline Mn3AsAu at its relaxed geometry.

D(E_F) ... 3.804 states/eV/f.u.

Geometry as CIF:
```
data_Mn3AsAu
_symmetry_space_group_name_H-M 'P m -3 m'
_symmetry_Int_Tables_number 221
_symmetry_space_group_name_Hall '-P 4 2 3'
_cell_length_a 4.895
_cell_length_b 4.895
_cell_length_c 4.895
_cell_angle_alpha 90.00
_cell_angle_beta 90.00
_cell_angle_gamma 90.00
loop_
_atom_site_label
_atom_site_type_symbol
_atom_site_fract_x
_atom_site_fract_y
_atom_site_fract_z
Mn1 Mn 0.000 0.000 0.500
As1 As 0.500 0.500 0.500
Au1 Au 0.000 0.000 0.000
```



#ii
The following is a DFT calculation (PBE) of crystalline Mn3AsAu at its relaxed geometry.

D(E_F) ... 3.111 states/eV/f.u.

Geometry as CIF:
```
data_Mn3AsAu
_symmetry_space_group_name_H-M 'P m -3 m'
_symmetry_Int_Tables_number 221
_symmetry_space_group_name_Hall '-P 4 2 3'
_cell_length_a 4.536
_cell_length_b 4.536
_cell_length_c 4.536
_cell_angle_alpha 90.00
_cell_angle_beta 90.00
_cell_angle_gamma 90.00
loop_
_atom_site_label
_atom_site_type_symbol
_atom_site_fract_x
_atom_site_fract_y
_atom_site_fract_z
Mn1 Mn 0.000 0.000 0.500
As1 As 0.000 0.000 0.000
Au1 Au 0.500 0.500 0.500
```



Top of the stability list: #ii, leading by 400 meV per atom.



#i
The following is a DFT calculation (PBE) of crystalline MnAsAuSe2 at its relaxed geometry.

D(E_F) ... 4.337 states/eV/f.u.

Geometry as CIF:
```
data_MnAsAuSe2
_symmetry_space_group_name_H-M 'P 4/m m m'
_symmetry_Int_Tables_number 123
_symmetry_space_group_name_Hall '-P 4 2'
_cell_length_a 4.776
_cell_length_b 4.776
_cell_length_c 4.658
_cell_angle_alpha 90.00
_cell_angle_beta 90.00
_cell_angle_gamma 90.00
loop_
_atom_site_label
_atom_site_type_symbol
_atom_site_fract_x
_atom_site_fract_y
_atom_site_fract_z
Mn1 Mn 0.000 0.000 0.000
As1 As 0.000 0.000 0.500
Au1 Au 0.500 0.500 0.500
Se1 Se 0.000 0.500 0.000
```



#ii
The following is a DFT calculation (PBE) of crystalline MnAsAuSe2 at its relaxed geometry.

D(E_F) ... 3.353 states/eV/f.u.

Geometry as CIF:
```
data_MnAsAuSe2
_symmetry_space_group_name_H-M 'P 4/m m m'
_symmetry_Int_Tables_number 123
_symmetry_space_group_name_Hall '-P 4 2'
_cell_length_a 5.205
_cell_length_b 5.205
_cell_length_c 4.843
_cell_angle_alpha 90.00
_cell_angle_beta 90.00
_cell_angle_gamma 90.00
loop_
_atom_site_label
_atom_site_type_symbol
_atom_site_fract_x
_atom_site_fract_y
_atom_site_fract_z
Mn1 Mn 0.000 0.000 0.000
As1 As 0.500 0.500 0.000
Au1 Au 0.500 0.500 0.500
Se1 Se 0.000 0.500 0.500
```



Top of the stability list: #i, leading by 364 meV per atom.



#i
The following is a DFT calculation (PBE) of crystalline Mo3AsAu at its relaxed geometry.

D(E_F) ... 5.651 states/eV/f.u.

Geometry as CIF:
```
data_Mo3AsAu
_symmetry_space_group_name_H-M 'P m -3 m'
_symmetry_Int_Tables_number 221
_symmetry_space_group_name_Hall '-P 4 2 3'
_cell_length_a 4.860
_cell_length_b 4.860
_cell_length_c 4.860
_cell_angle_alpha 90.00
_cell_angle_beta 90.00
_cell_angle_gamma 90.00
loop_
_atom_site_label
_atom_site_type_symbol
_atom_site_fract_x
_atom_site_fract_y
_atom_site_fract_z
Mo1 Mo 0.000 0.000 0.500
As1 As 0.500 0.500 0.500
Au1 Au 0.000 0.000 0.000
```



#ii
The following is a DFT calculation (PBE) of crystalline Mo3AsAu at its relaxed geometry.

D(E_F) ... 9.436 states/eV/f.u.

Geometry as CIF:
```
data_Mo3AsAu
_symmetry_space_group_name_H-M 'P m -3 m'
_symmetry_Int_Tables_number 221
_symmetry_space_group_name_Hall '-P 4 2 3'
_cell_length_a 4.597
_cell_length_b 4.597
_cell_length_c 4.597
_cell_angle_alpha 90.00
_cell_angle_beta 90.00
_cell_angle_gamma 90.00
loop_
_atom_site_label
_atom_site_type_symbol
_atom_site_fract_x
_atom_site_fract_y
_atom_site_fract_z
Mo1 Mo 0.000 0.000 0.500
As1 As 0.000 0.000 0.000
Au1 Au 0.500 0.500 0.500
```



Top of the stability list: #ii, leading by 1076 meV per atom.



#i
The following is a DFT calculation (PBE) of crystalline AsAu2N2 at its relaxed geometry.

D(E_F) ... 0.965 states/eV/f.u.

Geometry as CIF:
```
data_AsAu2N2
_symmetry_space_group_name_H-M 'I 4/m m m'
_symmetry_Int_Tables_number 139
_symmetry_space_group_name_Hall '-I 4 2'
_cell_length_a 5.698
_cell_length_b 5.698
_cell_length_c 5.457
_cell_angle_alpha 90.00
_cell_angle_beta 90.00
_cell_angle_gamma 90.00
loop_
_atom_site_label
_atom_site_type_symbol
_atom_site_fract_x
_atom_site_fract_y
_atom_site_fract_z
As1 As 0.000 0.000 0.000
Au1 Au 0.000 0.500 0.250
N1 N 0.000 0.000 0.396
```



#ii
The following is a DFT calculation (PBE) of crystalline AsAu2N2 at its relaxed geometry.

D(E_F) ... 3.616 states/eV/f.u.

Geometry as CIF:
```
data_AsAu2N2
_symmetry_space_group_name_H-M 'P 4/m b m'
_symmetry_Int_Tables_number 127
_symmetry_space_group_name_Hall '-P 4 2ab'
_cell_length_a 6.070
_cell_length_b 6.070
_cell_length_c 4.095
_cell_angle_alpha 90.00
_cell_angle_beta 90.00
_cell_angle_gamma 90.00
loop_
_atom_site_label
_atom_site_type_symbol
_atom_site_fract_x
_atom_site_fract_y
_atom_site_fract_z
As1 As 0.000 0.000 0.000
Au1 Au 0.164 0.336 0.500
N1 N 0.205 0.295 0.000
```



Top of the stability list: #i, leading by 461 meV per atom.